Here is VPRuO2 after structural relaxation from Alexandria via LeMat-Bulk. Energies are from PBE with a Hubbard U.

Unit cell a=3.6006 b=3.6006 c=5.5832 alpha=90.00 beta=90.00 gamma=90.00
Sites, in units of the cell vectors:
Ru 0.5000 0.5000 0.5000
O 0.0000 0.5000 0.0000
O 0.5000 0.0000 0.0000
P 0.0000 0.0000 0.5000
V 0.0000 0.0000 0.0000

**Crystal system**: tetragonal
**E**: -33.93 eV/cell
**M_tot**: 2.86 Bohr magnetons per cell